[1]
Below is a relaxed Sm8NiPd2 crystal, with properties calculated at the PBE level.

Unit cell a=6.331 b=7.651 c=7.651 alpha=108.17 beta=103.34 gamma=103.34
Fractional coordinates of all 11 atoms:
Sm: 0.958 0.156 0.845
Sm: 0.323 0.915 0.635
Sm: 0.323 0.635 0.915
Sm: 0.613 0.093 0.362
Sm: 0.613 0.362 0.093
Sm: 0.188 0.369 0.369
Sm: 0.784 0.636 0.636
Sm: 0.958 0.845 0.156
Pd: 0.494 0.323 0.699
Pd: 0.494 0.699 0.323
Ni: 0.253 0.001 0.001

Summary:
Energy relative to the elements, kcal/mol of atoms: -5.37
Space group: No. 8
Energy above the lowest structure with this stoichiometry, eV per atom: 0.0880

=====

[2]
Below is a relaxed Sm12Ni6Pd crystal, with properties calculated at the PBE level.

Unit cell a=8.505 b=8.505 c=8.505 alpha=109.47 beta=109.47 gamma=109.47
Fractional coordinates of all 19 atoms:
Sm: 0.185 0.302 0.487
Sm: 0.185 0.698 0.884
Sm: 0.487 0.185 0.302
Sm: 0.884 0.185 0.698
Sm: 0.698 0.884 0.185
Sm: 0.815 0.302 0.116
Sm: 0.302 0.487 0.185
Sm: 0.513 0.815 0.698
Sm: 0.698 0.513 0.815
Sm: 0.116 0.815 0.302
Sm: 0.815 0.698 0.513
Sm: 0.302 0.116 0.815
Ni: 0.624 0.500 0.124
Ni: 0.500 0.876 0.376
Ni: 0.376 0.500 0.876
Ni: 0.876 0.376 0.500
Ni: 0.500 0.124 0.624
Ni: 0.124 0.624 0.500
Pd: 0.000 0.000 0.000

Summary:
Energy relative to the elements, kcal/mol of atoms: -6.85
Space group: No. 204

=====

[3]
Below is a relaxed Sm8NiPd2 crystal, with properties calculated at the PBE level.

Unit cell a=5.122 b=6.868 c=9.158 alpha=101.59 beta=106.24 gamma=90.00
Fractional coordinates of all 11 atoms:
Sm: 0.798 0.671 0.595
Sm: 0.588 0.445 0.176
Sm: 0.662 0.973 0.325
Sm: 0.031 0.783 0.062
Sm: 0.412 0.555 0.824
Sm: 0.202 0.329 0.405
Sm: 0.969 0.217 0.938
Sm: 0.338 0.027 0.675
Pd: 0.806 0.259 0.612
Pd: 0.194 0.741 0.388
Ni: 0.500 0.000 0.000

Summary:
Energy relative to the elements, kcal/mol of atoms: -7.40
Space group: No. 12
Energy above the lowest structure with this stoichiometry, eV per atom: 0.0000

=====

[4]
Below is a relaxed Sm4NiPd crystal, with properties calculated at the PBE level.

Unit cell a=6.409 b=6.981 c=6.981 alpha=90.00 beta=90.00 gamma=90.00
Fractional coordinates of all 12 atoms:
Sm: 0.500 0.186 0.327
Sm: 0.000 0.186 0.673
Sm: 0.000 0.327 0.186
Sm: 0.500 0.327 0.814
Sm: 0.000 0.814 0.327
Sm: 0.500 0.673 0.186
Sm: 0.000 0.673 0.814
Sm: 0.500 0.814 0.673
Pd: 0.750 0.000 0.000
Pd: 0.250 0.000 0.000
Ni: 0.250 0.500 0.500
Ni: 0.750 0.500 0.500

Summary:
Energy relative to the elements, kcal/mol of atoms: -7.93
Space group: No. 124
Energy above the lowest structure with this stoichiometry, eV per atom: 0.0000